Entry from Alexandria via LeMat-Bulk: a PBEsol-optimized structure of Li2TaTl (meta-GGA SCAN).

Output
Total DFT energy (no corrections) in eV per atom: -35.234

abc: 7.192 7.192 5.581
angles: 90.00 90.00 90.00
Space group I-42d (No. 122)
Unique sites:
1 Li 0.233 0.250 0.125
2 Ta 0.000 0.000 0.500
3 Tl 0.000 0.000 0.000


Entry from Alexandria via LeMat-Bulk: a PBEsol-optimized structure of TaTl2In (meta-GGA SCAN).

Output
Energy relative to the lowest polymorph listed for this composition in eV per atom: 0.150

abc: 4.239 4.239 9.589
angles: 90.00 90.00 90.00
Space group I4/mmm (No. 139)
Unique sites:
1 Ta 0.000 0.000 0.000
2 Tl 0.000 0.500 0.250
3 In 0.000 0.000 0.500


Entry from Alexandria via LeMat-Bulk: a PBEsol-optimized structure of Cs2CaP2O7 (meta-GGA SCAN).

Output
Formation energy without anion corrections in meV/atom: -2764

abc: 10.266 5.906 7.410
angles: 90.00 118.73 90.00
Space group Cm (No. 8)
Unique sites:
1 Cs 0.000 0.000 0.000
2 Cs 0.075 0.500 0.677
3 Ca 0.290 0.500 0.344
4 P 0.220 0.000 0.605
5 P 0.365 0.000 0.091
6 O 0.034 0.500 0.204
7 O 0.059 0.000 0.564
8 O 0.266 0.216 0.538
9 O 0.296 0.217 0.121
10 O 0.331 0.000 0.853


Entry from Alexandria via LeMat-Bulk: a PBEsol-optimized structure of Zr2ZnBr (meta-GGA SCAN).

Output
Formation energy without anion corrections in meV/atom: -269
Energy relative to the lowest polymorph listed for this composition in eV per atom: 0.052

abc: 3.2467 3.2467 25.9528
angles: 90.00 90.00 120.00
Space group R-3m (No. 166, hexagonal axes)
Unique sites:
1 Zr 0.0000 0.0000 0.2474
2 Zn 0.0000 0.0000 0.5000
3 Br 0.0000 0.0000 0.0000


Entry from Alexandria via LeMat-Bulk: a PBEsol-optimized structure of SrLi2Au (meta-GGA SCAN).

Output
Energy relative to the lowest polymorph listed for this composition in eV per atom: 0.063

abc: 4.122 4.119 6.068
angles: 90.00 90.27 90.00
Space group Pm (No. 6)
Unique sites:
1 Sr 0.000 0.000 0.000
2 Li 0.004 0.500 0.483
3 Li 0.503 0.000 0.484
4 Au 0.501 0.500 0.209


Entry from Alexandria via LeMat-Bulk: a PBEsol-optimized structure of NiSeS2 (meta-GGA SCAN).

Output
Formation energy without anion corrections in meV/atom: 126

abc: 6.101 6.101 7.412
angles: 90.00 90.00 90.00
Space group I-42d (No. 122)
Unique sites:
1 Ni 0.000 0.000 0.000
2 Se 0.000 0.000 0.500
3 S 0.195 0.750 0.125


| no. | density (g cm⁻³) | magnetic moment (μB per cell) |
| --- | --- | --- |
| 1 | 9.2 | 0.00 |
| 2 | 13.6 | 0.00 |
| 3 | 4.0 | 0.00 |
| 4 | 6.9 | 0.02 |
| 5 | 4.8 | 0.04 |
| 6 | 4.9 | 0.00 |